Entry from the Alexandria database: Sr5AcAu6 after structural relaxation (GGA-PBE).

abc: 5.456 7.719 8.618
angles: 90.00 108.51 90.00
Fractional positions:
Sr  0.666  0.500  0.333
Sr  0.330  0.000  0.660
Sr  0.000  0.500  0.000
Sr  0.670  0.000  0.340
Sr  0.334  0.500  0.667
Ac  0.000  0.000  0.000
Au  0.837  0.752  0.674
Au  0.837  0.248  0.674
Au  0.500  0.238  0.000
Au  0.500  0.762  0.000
Au  0.163  0.752  0.326
Au  0.163  0.248  0.326

Values from the calculation:
total DFT energy (no corrections): -41.1 eV per cell
volume: 344 Å³ per cell
ΔH_f (0 K): -0.743 eV/atom